No. 1
Ac5Ag | the Alexandria database | PBE-GGA | optimized geometry; energy = -23.00 eV per formula unit
1.0
5.490 0.000 0.000
0.000 5.381 0.000
0.000 -2.690 8.172
Ac Ag
5 1
Direct
0.500 0.165 0.330 Ac
0.000 0.663 0.325 Ac
0.500 0.835 0.670 Ac
0.000 0.337 0.675 Ac
0.500 0.500 0.000 Ac
0.000 0.000 0.000 Ag

---

No. 2
Ac4Ag | the Alexandria database | PBE-GGA | optimized geometry; energy = -19.74 eV per formula unit
1.0
3.932 0.000 -0.594
-0.090 3.931 -0.594
-0.073 -0.075 12.833
Ac Ag
4 1
Direct
0.579 0.579 0.158 Ac
0.806 0.806 0.612 Ac
0.194 0.194 0.388 Ac
0.421 0.421 0.842 Ac
0.000 0.000 0.000 Ag

---

No. 3
Ac5Ag4 | the Alexandria database | PBE-GGA | optimized geometry; energy = -33.71 eV per formula unit
1.0
4.368 0.000 0.000
2.184 6.100 0.138
2.184 2.209 11.525
Ag Ac
4 5
Direct
0.531 0.754 0.183 Ag
0.394 0.609 0.604 Ag
0.469 0.246 0.817 Ag
0.606 0.391 0.396 Ag
0.111 0.169 0.609 Ac
0.000 0.000 0.000 Ac
0.763 0.650 0.823 Ac
0.237 0.350 0.177 Ac
0.889 0.831 0.391 Ac

---

No. 4
Ac3Ag | the Alexandria database | PBE-GGA | optimized geometry; energy = -15.44 eV per formula unit
1.0
4.047 0.000 0.000
0.000 6.185 0.000
-2.024 -3.092 6.114
Ac Ag
3 1
Direct
0.500 0.413 0.000 Ac
0.287 0.684 0.574 Ac
0.713 0.110 0.426 Ac
0.000 0.959 0.000 Ag